Entry from the Alexandria database: a relaxed Li2PuAlS4 crystal (PBE-GGA).

Computed properties:
Energy   -6.096 eV/atom
Uncorrected formation energy   -1.29 eV per atom
Space-group type   Imma (74)
Mass density   4.57 g/cm³

Cell: 7.5164 7.5164 7.5164 Å, 122.53 117.27 90.24°
Closest atoms and distances in Å follow each position.
Element x y z (fractional)
Li: 0.0000 0.0000 0.0000  6 S 2.58-2.62
Li: 0.5000 0.0000 0.0000  6 S 2.71-2.88
Li: 0.5000 0.0000 0.5000  6 S 2.58-2.62
Li: 0.5000 0.5000 0.5000  6 S 2.71-2.88
Pu: 0.0000 0.5000 0.5000  6 S 2.71-2.75
Pu: 0.5000 0.5000 0.0000  6 S 2.71-2.75
Al: 0.0000 0.0000 0.5000  6 S 2.46-2.60
Al: 0.0000 0.5000 0.0000  6 S 2.46-2.60
S: 0.2056 0.2420 0.9636  2 Al 2.46, 1 Li 2.58, 1 Pu 2.75
S: 0.2215 0.7580 0.4636  2 Al 2.46, 1 Li 2.58, 1 Pu 2.75
S: 0.2449 0.2362 0.4913  1 Al 2.60, 3 Li 2.62-2.71, 2 Pu 2.71
S: 0.2449 0.7536 0.0087  1 Al 2.60, 3 Li 2.62-2.71, 2 Pu 2.71
S: 0.7551 0.2464 0.9913  1 Al 2.60, 3 Li 2.62-2.71, 2 Pu 2.71
S: 0.7551 0.7638 0.5087  1 Al 2.60, 3 Li 2.62-2.71, 2 Pu 2.71
S: 0.7785 0.2420 0.5364  2 Al 2.46, 1 Li 2.58, 1 Pu 2.75
S: 0.7944 0.7580 0.0364  2 Al 2.46, 1 Li 2.58, 1 Pu 2.75

---

Entry from the Alexandria database: a relaxed RbTi2Tc crystal (PBE-GGA).

Computed properties:
Energy   -5.654 eV/atom
Energy of formation   1.13 eV per atom
Space-group type   I4_1/amd (141)
Polymorph energy (0 for the lowest one)   0 meV/atom
Mass density   3.15 g/cm³

Cell: 7.5127 7.5127 7.5127 Å, 121.15 121.15 88.02°
Closest atoms and distances in Å follow each position.
Element x y z (fractional)
Rb: 0.3750 0.6250 0.7500  12 Ti 4.34-4.45, 4 Tc 4.57, 4 Rb 4.57
Rb: 0.6250 0.3750 0.2500  12 Ti 4.34-4.45, 4 Rb 4.57, 4 Tc 4.57
Ti: 0.0000 0.0000 0.0000  2 Tc 2.29
Ti: 0.0000 0.0000 0.5000  2 Tc 2.29
Ti: 0.0000 0.5000 0.0000  2 Tc 2.29
Ti: 0.5000 0.0000 0.5000  2 Tc 2.29
Tc: 0.1250 0.8750 0.2500  4 Ti 2.29
Tc: 0.8750 0.1250 0.7500  4 Ti 2.29

---

Entry from the Alexandria database: a relaxed BaBeRe2 crystal (PBE-GGA).

Computed properties:
Energy   -7.066 eV/atom
Energy of formation   0.57 eV per atom
Space-group type   Amm2 (38)
Mass density   10.21 g/cm³

Cell: 4.0549 6.6696 6.6696 Å, 27.90 90.00 90.00°
Closest atoms and distances in Å follow each position.
Element x y z (fractional)
Ba: 0.0000 0.0000 0.0000  2 Ba 3.22, 4 Be 3.23, 3 Re 3.25-3.60
Be: 0.5000 0.6498 0.6498  4 Re 2.33-2.40
Re: 0.0000 0.7487 0.7487  2 Be 2.40, 4 Re 2.62
Re: 0.5000 0.2799 0.2799  2 Be 2.33

---

Entry from the Alexandria database: a relaxed LiCo2Ag crystal (PBE-GGA).

Computed properties:
Energy   -4.499 eV/atom
Energy of formation   0.25 eV per atom
Space-group type   I4/mmm (139)
Mass density   7.47 g/cm³

Cell: 4.9298 4.9298 4.9298 Å, 138.67 138.67 59.88°
Closest atoms and distances in Å follow each position.
Element x y z (fractional)
Li: 0.0000 0.0000 0.0000  4 Ag 2.46, 8 Co 2.75
Co: 0.2500 0.7500 0.5000  4 Co 2.46, 4 Li 2.75, 4 Ag 2.75
Co: 0.7500 0.2500 0.5000  4 Co 2.46, 4 Li 2.75, 4 Ag 2.75
Ag: 0.5000 0.5000 0.0000  4 Li 2.46, 8 Co 2.75

---

Entry from the Alexandria database: a relaxed MgZn3Os crystal (PBE-GGA).

Computed properties:
Energy   -2.777 eV/atom
Energy of formation   0.55 eV per atom
Space-group type   Pm-3m (221)
Polymorph energy (0 for the lowest one)   0 meV/atom
Mass density   6.17 g/cm³

Cell: 4.7985 4.7985 4.7985 Å, 90.00 90.00 90.00°
Closest atoms and distances in Å follow each position.
Element x y z (fractional)
Mg: 0.0000 0.0000 0.0000  12 Zn 3.39
Zn: 0.0000 0.5000 0.5000  2 Os 2.40
Zn: 0.5000 0.0000 0.5000  2 Os 2.40
Zn: 0.5000 0.5000 0.0000  2 Os 2.40
Os: 0.5000 0.5000 0.5000  6 Zn 2.40

---

Entry from the Alexandria database: a relaxed LaHgTeRu2 crystal (PBE-GGA).

Computed properties:
Energy   -4.154 eV/atom
Uncorrected formation energy   1.23 eV per atom
Space-group type   P4/mmm (123)
Mass density   7.46 g/cm³

Cell: 4.8356 4.8356 6.3718 Å, 90.00 90.00 90.00°
Closest atoms and distances in Å follow each position.
Element x y z (fractional)
La: 0.0000 0.0000 0.0000  4 Ru 2.42
Hg: 0.5000 0.5000 0.5000  4 Te 3.42
Te: 0.0000 0.0000 0.5000  2 La 3.19, 4 Hg 3.42
Ru: 0.0000 0.5000 0.0000  2 La 2.42
Ru: 0.5000 0.0000 0.0000  2 La 2.42

---

Question: What is the mass density in the second record?
Answer: 3.15 g/cm³

---

Question: Which of these has the highest energy?
Answer: MgZn3Os

---

Question: Look up the mass density of the third one.
Answer: 10.21 g/cm³

---

Question: Which formula does entry 6 have?
Answer: LaHgTeRu2